Record 1
## FeS2NCl (PBEsol)

Data for a relaxed structure of FeS2NCl.

POSCAR file:
```
FeS2NCl
1.0
4.704 0.000 0.000
0.000 4.704 0.000
0.000 0.000 3.355
Fe S N Cl
1 2 1 1
direct
0.000 0.000 0.000 Fe
0.000 0.500 0.500 S
0.500 0.000 0.500 S
0.500 0.500 0.000 N
0.500 0.500 0.500 Cl
```

Results
The value obtained for the density of states at the Fermi level is 1.016 states/eV per atom. For the total magnetization, the calculation gives 4.185 Bohr magnetons per cell. For the uncorrected formation energy, the calculation gives 1649 meV per atom. For the volume, the calculation gives 74.2 Å³ per cell. For the total energy, the calculation gives -4.004 eV per atom.

***

Record 2
## CaBe4Br (PBEsol)

Data for a relaxed structure of CaBe4Br.

POSCAR file:
```
CaBe4Br
1.0
0.000 3.584 3.584
3.584 0.000 3.584
3.584 3.584 0.000
Ca Be Br
1 4 1
direct
0.000 0.000 0.000 Ca
0.362 0.362 0.362 Be
0.362 0.362 0.915 Be
0.362 0.915 0.362 Be
0.915 0.362 0.362 Be
0.750 0.750 0.750 Br
```

Results
The value obtained for the density of states at the Fermi level is 0.605 states/eV per atom. For the total magnetization, the calculation gives 0.000 Bohr magnetons per cell. For the uncorrected formation energy, the calculation gives 564 meV per atom. For the volume, the calculation gives 92.1 Å³ per cell. For the total energy, the calculation gives -2.770 eV per atom.